Computed, not measured: crystalline CaAs3I at its relaxed geometry at the GGA-PBEsol level of DFT.

Its calculated density is 4.41 g/cm3. The space group is No. 221. Its raw formation energy is 0.5755 eV/atom. The calculated volume is 148 Å³/cell.

Structure (POSCAR):
```
CaAs3I
1.0
5.2846 0.0000 0.0000
0.0000 5.2846 0.0000
0.0000 0.0000 5.2846
Ca As I
1 3 1
Direct
0.0000 0.0000 0.0000
0.0000 0.5000 0.5000
0.5000 0.0000 0.5000
0.5000 0.5000 0.0000
0.5000 0.5000 0.5000
```